# CsTeHC

Crystalline CsTeHC at its relaxed geometry (PBE, Alexandria via LeMat-Bulk).

Results
The value obtained for the energy above the lowest structure with this stoichiometry is 8 meV/atom. Its magnetization is 0.00 μB/cell.

```
CsTeHC
1.0
-6.721 0.131 -0.354
0.116 -1.959 -2.921
5.460 -8.522 5.932
Cs Te H C
2 2 2 2
Direct
0.136 0.000 0.973 Cs
0.136 0.500 0.473 Cs
0.542 0.000 0.353 Te
0.542 0.500 0.853 Te
0.653 0.000 0.720 H
0.653 0.500 0.220 H
0.486 0.000 0.719 C
0.486 0.500 0.219 C
```

# CsTeHC

Crystalline CsTeHC at its relaxed geometry (PBE, Alexandria via LeMat-Bulk).

Results
The value obtained for the energy above the lowest structure with this stoichiometry is 581 meV/atom. Its magnetization is 0.00 μB/cell.

```
CsTeHC
1.0
-0.425 2.075 2.679
-2.338 -2.978 1.936
5.511 -2.500 2.809
Cs Te H C
1 1 1 1
Direct
0.000 0.000 0.423 Cs
0.000 0.500 0.920 Te
0.500 0.500 0.178 H
0.500 0.500 0.726 C
```

# Cs2TeHC

Crystalline Cs2TeHC at its relaxed geometry (PBE, Alexandria via LeMat-Bulk).

Results
The total energy comes out at -2.7870 eV/atom. Its magnetization is 2.96 μB/cell.

```
Cs2TeHC
1.0
6.525 0.000 0.000
0.000 4.153 0.000
0.000 0.000 6.525
Cs H C Te
2 1 1 1
Direct
0.000 0.000 0.500 Cs
0.500 0.000 0.000 Cs
0.000 0.000 0.000 H
0.500 0.500 0.500 C
0.000 0.500 0.000 Te
```

# CsTeHC

Crystalline CsTeHC at its relaxed geometry (PBE, Alexandria via LeMat-Bulk).

Results
The value obtained for the energy above the lowest structure with this stoichiometry is 48 meV/atom. Its magnetization is 0.00 μB/cell.

```
CsTeHC
1.0
4.031 0.000 -0.151
0.000 5.265 0.000
-1.737 0.000 5.069
Cs Te H C
1 1 1 1
Direct
0.165 0.000 0.014 Cs
0.456 0.500 0.578 Te
0.767 0.500 0.184 H
0.874 0.500 0.405 C
```